Density functional theory data (PBE-GGA) for Tb6PmEr3 after structural relaxation.

Cell lengths 11.534, 11.534, 6.374 Å; angles 90.00, 90.00, 130.63 degrees
Fractional coordinates of all 20 atoms:
Tb: 0.015 0.985 0.500
Tb: 0.106 0.543 0.983
Tb: 0.261 0.379 0.738
Tb: 0.301 0.699 0.521
Tb: 0.379 0.261 0.238
Tb: 0.457 0.894 0.983
Tb: 0.543 0.106 0.483
Tb: 0.621 0.739 0.738
Tb: 0.699 0.301 0.021
Tb: 0.739 0.621 0.238
Tb: 0.894 0.457 0.483
Tb: 0.985 0.015 0.000
Pm: 0.161 0.839 0.302
Pm: 0.839 0.161 0.802
Er: 0.043 0.296 0.326
Er: 0.296 0.043 0.826
Er: 0.418 0.582 0.215
Er: 0.582 0.418 0.715
Er: 0.704 0.957 0.326
Er: 0.957 0.704 0.826

Energy = -4.4971 eV/atom
Energy relative to the elements = 0.1250 eV per atom
Theoretical density = 8.26 g/cm³
D(E_F) = 14.80 states/eV/f.u.
Energy relative to the lowest polymorph listed for this composition = 0.0 kJ/mol of formula units